A geometry-optimized TlVPb2O4 structure. Source: Alexandria, functional PBE+U.

POSCAR file:
```
TlVPb2O4
1.0
5.2590 -0.2361 0.0000
-0.6715 5.2213 0.0000
-2.2938 -2.4926 6.0065
O Pb Tl V
4 2 1 1
Direct
0.1771 0.1771 0.7941 O
0.3971 0.7384 0.1355 O
0.7384 0.3971 0.1355 O
0.6170 0.6170 0.7941 O
0.2696 0.7696 0.5391 Pb
0.7696 0.2696 0.5391 Pb
0.0481 0.0481 0.0963 Tl
0.4834 0.4834 0.9668 V
```

Calculated values
As for the space group: No. 42. The calculation puts the calculated density at 7.4 g cm⁻³. Its density of states at the Fermi level is 0.437 states/eV per atom. The electronic total energy is -46.178 eV per cell.